1.
A geometry-optimized TcBiTeN2 structure, computed with PBEsol.

abc: 4.0343 4.0343 5.4380
angles: 90.00 90.00 90.00
Last column: nearest neighbours and their distance in Å.
Positions (direct):
N 0.0000 0.5000 0.0000  2 Tc 2.02
N 0.5000 0.0000 0.0000  2 Tc 2.02
Te 0.0000 0.0000 0.5000  2 Tc 2.72, 4 Bi 2.85
Bi 0.5000 0.5000 0.5000  4 Te 2.85
Tc 0.0000 0.0000 0.0000  4 N 2.02

## Properties
Raw formation energy ... 72.4 kJ per mole of atoms
Symmetry ... P4/mmm (123)
E above lowest polymorph ... 0.000 eV/atom
Calculated total energy ... -6.48 eV/atom
D(E_F) ... 3.46 states/eV/cell

=====

2.
A geometry-optimized HgOsPb structure, computed with PBEsol.

abc: 3.1529 3.1529 6.6450
angles: 103.72 103.72 90.00
Last column: nearest neighbours and their distance in Å.
Positions (direct):
Hg 0.0258 0.0258 0.0517  4 Os 2.83, 4 Hg 3.15
Os 0.6646 0.6646 0.3291  4 Hg 2.83, 4 Pb 2.88, 4 Os 3.15
Pb 0.3096 0.3096 0.6192  4 Os 2.88, 4 Pb 3.15

## Properties
Symmetry ... I4mm (107)
Calculated total energy ... -4.74 eV/atom
D(E_F) ... 2.68 states/eV/cell

=====

3.
A geometry-optimized MnAs2Pt structure, computed with PBEsol.

abc: 3.2387 4.3476 4.3476
angles: 90.00 90.00 90.00
Last column: nearest neighbours and their distance in Å.
Positions (direct):
As 0.0000 0.0000 0.5000  4 Mn 2.71, 4 Pt 2.71
As 0.0000 0.5000 0.0000  4 Mn 2.71, 4 Pt 2.71
Mn 0.5000 0.5000 0.5000  8 As 2.71
Pt 0.5000 0.0000 0.0000  8 As 2.71

## Properties
Symmetry ... P4/mmm (123)
Calculated total energy ... -6.77 eV/atom
D(E_F) ... 2.02 states/eV/cell

=====

4.
A geometry-optimized Cu2OsPb structure, computed with PBEsol.

abc: 2.8433 2.8433 8.8291
angles: 90.00 90.00 115.53
Last column: nearest neighbours and their distance in Å.
Positions (direct):
Cu 0.0000 0.0000 0.9653  2 Cu 2.39
Cu 0.5000 0.5000 0.7565  2 Cu 2.39, 2 Os 2.51
Os 0.0000 0.0000 0.5296  2 Cu 2.51
Pb 0.5000 0.5000 0.2487  6 Pb 2.84-3.03, 2 Os 2.91, 2 Cu 2.93

## Properties
Symmetry ... Cmm2 (35)
Calculated total energy ... -5.38 eV/atom
D(E_F) ... 2.97 states/eV/cell

=====

What is the formula in the second record?
HgOsPb

=====

D(E_F) of number 4 (Cu2OsPb)?
2.97 states/eV/cell

=====

calculated total energy of number 2 (HgOsPb)?
-4.74 eV/atom

=====

D(E_F) of number 2 (HgOsPb)?
2.68 states/eV/cell